TaTlGa3: optimized geometry, GGA-PBE.

Output
Uncorrected energy ... -4.250 eV/atom
Energy relative to the lowest polymorph listed for this composition ... 0 meV/atom
Calculated density ... 7298 kg/m3
Formation enthalpy at 0 K ... 0.4099 eV/atom
Density of states at the Fermi level ... 0.7094 states/eV per atom

Cell and atoms, written as POSCAR:
```
TaTlGa3
1.0
5.1333 0.0000 0.0000
0.0000 5.1333 0.0000
0.0000 0.0000 5.1333
Tl Ga Ta
1 3 1
Direct
0.5000 0.5000 0.5000
0.0000 0.5000 0.0000
0.0000 0.0000 0.5000
0.5000 0.0000 0.0000
0.0000 0.0000 0.0000
```